The following is a PBE-GGA calculation of a geometry-optimized Pm6As3PS2 structure, from Alexandria.

Cell lengths 18.1211, 4.1644, 8.3040 Å; angles 90.00, 103.15, 90.00 degrees
Space group C2/m (No. 12)
Unique sites:
Pm 0.0005 0.0000 0.2444 x4
Pm 0.1642 0.5000 0.0822 x4
Pm 0.1659 0.5000 0.5830 x4
As 0.0000 0.5000 0.5000 x2
As 0.1676 0.0000 0.8325 x4
P 0.0000 0.5000 0.0000 x2
S 0.1676 0.0000 0.3351 x4

Computed properties:
Volume = 610 Å³ per cell
Energy = -153.9 eV per cell

=====

The following is a PBE-GGA calculation of a geometry-optimized Pm4AsP2S structure, from Alexandria.

Cell lengths 7.1569, 4.1382, 7.1743 Å; angles 90.00, 109.38, 90.00 degrees
Space group P2/m (No. 10)
Unique sites:
Pm 0.2471 0.0000 0.2435 x2
Pm 0.2525 0.5000 0.7574 x2
As 0.5000 0.5000 0.5000 x1
P 0.0000 0.5000 0.0000 x1
P 0.5000 0.0000 0.0000 x1
S 0.0000 0.0000 0.5000 x1

Computed properties:
Volume = 200 Å³ per cell
Energy = -52.4 eV per cell

=====

The following is a PBE-GGA calculation of a geometry-optimized Pm6As2PS3 structure, from Alexandria.

Cell lengths 17.9804, 4.1308, 8.2355 Å; angles 90.00, 103.10, 90.00 degrees
Space group C2/m (No. 12)
Unique sites:
Pm 0.0007 0.0000 0.2572 x4
Pm 0.1640 0.5000 0.5799 x4
Pm 0.1656 0.5000 0.0842 x4
As 0.1667 0.0000 0.8332 x4
P 0.0000 0.5000 0.5000 x2
S 0.0000 0.5000 0.0000 x2
S 0.1674 0.0000 0.3334 x4

Computed properties:
Volume = 596 Å³ per cell
Energy = -155.0 eV per cell

=====

The following is a PBE-GGA calculation of a geometry-optimized Pm6As2P3S structure, from Alexandria.

Cell lengths 18.1030, 4.1537, 8.3180 Å; angles 90.00, 103.34, 90.00 degrees
Space group C2/m (No. 12)
Unique sites:
Pm 0.0019 0.0000 0.2458 x4
Pm 0.1653 0.5000 0.0869 x4
Pm 0.1675 0.5000 0.5788 x4
As 0.1656 0.0000 0.8312 x4
P 0.0000 0.5000 0.0000 x2
P 0.1662 0.0000 0.3342 x4
S 0.0000 0.5000 0.5000 x2

Computed properties:
Volume = 609 Å³ per cell
Energy = -156.3 eV per cell

=====

The following is a PBE-GGA calculation of a geometry-optimized Pm4AsPS2 structure, from Alexandria.

Cell lengths 7.1154, 4.1216, 7.1438 Å; angles 90.00, 109.60, 90.00 degrees
Space group P2/m (No. 10)
Unique sites:
Pm 0.2454 0.0000 0.2436 x2
Pm 0.2488 0.5000 0.7546 x2
As 0.0000 0.0000 0.5000 x1
P 0.0000 0.5000 0.0000 x1
S 0.5000 0.0000 0.0000 x1
S 0.5000 0.5000 0.5000 x1

Computed properties:
Volume = 197 Å³ per cell
Energy = -52.0 eV per cell

=====

The following is a PBE-GGA calculation of a geometry-optimized Pm4As2PS structure, from Alexandria.

Cell lengths 7.2040, 4.1676, 7.2119 Å; angles 90.00, 109.42, 90.00 degrees
Space group P2/m (No. 10)
Unique sites:
Pm 0.2448 0.0000 0.2457 x2
Pm 0.2472 0.5000 0.7522 x2
As 0.5000 0.0000 0.0000 x1
As 0.5000 0.5000 0.5000 x1
P 0.0000 0.5000 0.0000 x1
S 0.0000 0.0000 0.5000 x1

Computed properties:
Volume = 204 Å³ per cell
Energy = -51.5 eV per cell

=====

The following is a PBE-GGA calculation of a geometry-optimized Pm4SbAs2P structure, from Alexandria.

Cell lengths 7.4026, 4.2729, 7.4278 Å; angles 90.00, 109.41, 90.00 degrees
Space group P2/m (No. 10)
Unique sites:
Pm 0.2422 0.0000 0.2370 x2
Pm 0.2494 0.5000 0.7597 x2
Sb 0.5000 0.5000 0.5000 x1
As 0.0000 0.0000 0.5000 x1
As 0.0000 0.5000 0.0000 x1
P 0.5000 0.0000 0.0000 x1

Computed properties:
Volume = 222 Å³ per cell
Energy = -49.2 eV per cell

=====

The following is a PBE-GGA calculation of a geometry-optimized Pm6SbAs2P3 structure, from Alexandria.

Cell lengths 18.4421, 4.2167, 8.4767 Å; angles 90.00, 103.50, 90.00 degrees
Space group C2/m (No. 12)
Unique sites:
Pm 0.0013 0.0000 0.2342 x4
Pm 0.1661 0.5000 0.0867 x4
Pm 0.1730 0.5000 0.5828 x4
Sb 0.0000 0.5000 0.5000 x2
As 0.1670 0.0000 0.8341 x4
P 0.0000 0.5000 0.0000 x2
P 0.1661 0.0000 0.3321 x4

Computed properties:
Volume = 641 Å³ per cell
Energy = -151.5 eV per cell

=====

Number 1: raw formation energy -1.74 eV per atom, N(E_F) 7.09 states/eV/cell. Number 2: raw formation energy -1.72 eV per atom, N(E_F) 1.31 states/eV/cell. Number 3: raw formation energy -1.83 eV per atom, N(E_F) 8.34 states/eV/cell. Number 4: raw formation energy -1.67 eV per atom, N(E_F) 3.81 states/eV/cell. Number 5: raw formation energy -1.83 eV per atom, N(E_F) 3.61 states/eV/cell. Number 6: raw formation energy -1.70 eV per atom, N(E_F) 1.36 states/eV/cell. Number 7: raw formation energy -1.42 eV per atom, N(E_F) 0.77 states/eV/cell. Number 8: raw formation energy -1.47 eV per atom, N(E_F) 3.55 states/eV/cell.